Computed, not measured: a relaxed LiBeNiSe2 crystal at the GGA-PBE level of DFT.

**V**: 86.16 Å³/cell
**E_form (uncorrected)**: 0.07 eV per atom

CIF file:
```
data_LiBeNiSe2
_symmetry_space_group_name_H-M 'P 4/m m m'
_symmetry_Int_Tables_number 123
_symmetry_space_group_name_Hall '-P 4 2'
_cell_length_a 4.613
_cell_length_b 4.613
_cell_length_c 4.049
_cell_angle_alpha 90.00
_cell_angle_beta 90.00
_cell_angle_gamma 90.00
loop_
_atom_site_label
_atom_site_type_symbol
_atom_site_fract_x
_atom_site_fract_y
_atom_site_fract_z
Li1 Li 0.000 0.000 0.000
Be1 Be 0.500 0.500 0.500
Ni1 Ni 0.500 0.500 0.000
Se1 Se 0.000 0.500 0.500
```